Record 1
Material: SrHgAu2
Method: DFT, PBEsol
State: relaxed

Geometry as POSCAR:
```
SrHgAu2
1.0
4.045 0.000 -0.043
0.000 4.365 0.000
-1.960 0.000 5.459
Au Sr Hg
2 1 1
direct
0.800 0.000 0.976
0.951 0.500 0.276
0.222 0.500 0.819
0.526 0.000 0.429
```

Output
Density (g/cm³): 11.8
Symmetry: Amm2 (38)

---

Record 2
Material: SrHg2Au
Method: DFT, PBEsol
State: relaxed

Geometry as POSCAR:
```
SrHg2Au
1.0
-3.820 -0.514 0.163
0.141 -2.228 -3.717
2.754 -4.913 3.050
Hg Au Sr
2 1 1
direct
0.420 0.500 0.219
0.825 0.000 0.016
0.674 0.500 0.724
0.081 0.000 0.540
```

Output
Density (g/cm³): 11.2
Symmetry: Pm (6)

---

Record 3
Material: SrHg2Au
Method: DFT, PBEsol
State: relaxed

Geometry as POSCAR:
```
SrHg2Au
1.0
5.136 0.000 0.000
2.568 4.448 0.000
2.568 1.483 4.193
Hg Sr Au
2 1 1
direct
0.000 0.000 0.000
0.750 0.750 0.750
0.250 0.250 0.250
0.500 0.500 0.500
```

Output
Density (g/cm³): 11.9
Symmetry: F-43m (216)

---

Record 4
Material: SrHg2Au
Method: DFT, PBEsol
State: relaxed

Geometry as POSCAR:
```
SrHg2Au
1.0
4.626 0.000 0.000
0.000 4.626 0.000
-2.313 -2.313 4.463
Au Hg Sr
1 2 1
direct
0.000 0.000 0.000
0.250 0.750 0.500
0.750 0.250 0.500
0.500 0.500 0.000
```

Output
Density (g/cm³): 11.9
Symmetry: I4/mmm (139)

---

Record 5
Material: TaHgAu2
Method: DFT, PBEsol
State: relaxed

Geometry as POSCAR:
```
TaHgAu2
1.0
-2.022 -0.226 -2.138
0.522 -2.899 -0.188
-5.805 -1.411 5.641
Au Ta Hg
2 1 1
direct
0.000 0.000 0.732
0.000 0.000 0.268
0.500 0.500 0.500
0.500 0.500 0.000
```

Output
Density (g/cm³): 18.0
Symmetry: P4/mmm (123)

---

Record 6
Material: Ta2HgAu
Method: DFT, PBEsol
State: relaxed

Geometry as POSCAR:
```
Ta2HgAu
1.0
-0.396 -2.857 0.273
3.314 -0.140 3.340
-3.577 1.063 3.595
Ta Au Hg
2 1 1
direct
0.821 0.500 0.281
0.925 0.000 0.972
0.385 0.000 0.467
0.369 0.500 0.780
```

Output
Density (g/cm³): 17.9
Symmetry: Pm (6)

---

Record 7
Material: Ta2HgAu
Method: DFT, PBEsol
State: relaxed

Geometry as POSCAR:
```
Ta2HgAu
1.0
2.981 0.000 0.000
-1.490 4.753 0.000
0.000 -0.975 5.059
Hg Ta Au
1 2 1
direct
0.749 0.497 0.252
0.254 0.508 0.754
0.991 0.983 0.989
0.506 0.012 0.505
```

Output
Density (g/cm³): 17.6
Symmetry: Cm (8)

---

Record 8
Material: Ta2HgAu
Method: DFT, PBEsol
State: relaxed

Geometry as POSCAR:
```
Ta2HgAu
1.0
4.048 0.000 0.000
0.000 4.048 0.000
-2.024 -2.024 4.343
Hg Ta Au
1 2 1
direct
0.250 0.750 0.500
0.750 0.250 0.500
0.000 0.000 0.000
0.500 0.500 0.000
```

Output
Density (g/cm³): 17.7
Symmetry: I-4m2 (119)

---

Fermi-level density of states
In order: 1.04 1.81 1.67 1.53 2.24 2.92 2.40 5.93
Unit: states/eV/cell
Final energy
In order: -0.1100 -0.0783 -0.0797 -0.0792 -0.1947 -0.2665 -0.2662 -0.2627
Unit: hartree per atom